A PBEsol-optimized structure of Tb2Fe17N3, computed with SCAN.

Unit cell a=8.4669 b=8.4669 c=12.3150 alpha=90.00 beta=90.00 gamma=120.00
Last column: nearest neighbours and their distance in Å.
Space group R-3m (No. 166, hexagonal axes)
Unique sites:
Tb1 0.0000 0.0000 0.1575 [6 per cell]  3 N 2.45
Fe1 0.0000 0.0000 0.4050 [6 per cell]  7 Fe 2.34-2.60
Fe2 0.0000 0.2821 0.5000 [18 per cell]  1 N 1.84
Fe3 0.0000 0.5000 0.0000 [9 per cell]  10 Fe 2.40-2.60
Fe4 0.0085 0.5043 0.3472 [18 per cell]  1 N 1.88
N1 0.0000 0.5000 0.5000 [9 per cell]  4 Fe 1.84-1.88

Computed properties:
DOS(E_F) = 33.4 states/eV per cell
energy = -19.817 eV per atom
ΔE_f (raw) = -289 meV per atom

A PBEsol-optimized structure of FeTcN2, computed with SCAN.

Unit cell a=5.0937 b=5.0937 c=5.0937 alpha=90.00 beta=90.00 gamma=90.00
Last column: nearest neighbours and their distance in Å.
Space group Fm-3m (No. 225)
Unique sites:
Fe1 0.0000 0.0000 0.0000 [4 per cell]  8 N 2.21
Tc1 0.0000 0.0000 0.5000 [4 per cell]  8 N 2.21
N1 0.2500 0.2500 0.2500 [8 per cell]  4 Fe 2.21, 4 Tc 2.21

Computed properties:
DOS(E_F) = 8.8 states/eV per cell
polymorph energy (0 for the lowest one) = 2.706 eV per formula unit
energy = -17.354 eV per atom
ΔE_f (raw) = 589 meV per atom

A PBEsol-optimized structure of FeTcN2, computed with SCAN.

Unit cell a=4.4500 b=4.4500 c=8.2712 alpha=90.00 beta=90.00 gamma=90.00
Last column: nearest neighbours and their distance in Å.
Space group I-42d (No. 122)
Unique sites:
Fe1 0.0000 0.0000 0.0000 [4 per cell]  4 N 1.82
Tc1 0.0000 0.0000 0.5000 [4 per cell]  4 N 1.95
N1 0.2246 0.2500 0.1250 [8 per cell]  2 Fe 1.82, 2 Tc 1.95

Computed properties:
DOS(E_F) = 10.6 states/eV per cell
polymorph energy (0 for the lowest one) = 0.000 eV per formula unit
energy = -18.030 eV per atom
ΔE_f (raw) = -87 meV per atom

A PBEsol-optimized structure of FeTeN2, computed with SCAN.

Unit cell a=3.3295 b=3.3295 c=17.8024 alpha=90.00 beta=90.00 gamma=120.00
Last column: nearest neighbours and their distance in Å.
Space group R-3m (No. 166, hexagonal axes)
Unique sites:
Fe1 0.0000 0.0000 0.0000 [3 per cell]  2 N 1.83
Te1 0.0000 0.0000 0.5000 [3 per cell]  6 N 2.23
N1 0.0000 0.0000 0.1028 [6 per cell]  1 Fe 1.83

Computed properties:
DOS(E_F) = 8.2 states/eV per cell
energy = -17.607 eV per atom
ΔE_f (raw) = 884 meV per atom